[1]
Computed, not measured: a crystal of FeRh relaxed with PBEsol at the meta-GGA SCAN level of DFT.

Results
The density comes out at 11.04 g cm⁻³. As for the density of states at the Fermi level: 10.90 states/eV/cell. The crystal system is orthorhombic. For the volume, the calculation gives 95.49 Å³ per cell. For the raw total energy, the calculation gives -0.953 Ha/atom.

The structure in POSCAR format:
```
FeRh
1.0
4.511 0.000 0.000
0.000 4.101 0.000
0.000 0.000 5.162
Fe Rh
4 4
direct
0.075 0.250 0.123 Fe
0.425 0.750 0.623 Fe
0.575 0.250 0.377 Fe
0.925 0.750 0.877 Fe
0.094 0.250 0.627 Rh
0.406 0.750 0.127 Rh
0.594 0.250 0.873 Rh
0.906 0.750 0.373 Rh
```


[2]
Computed, not measured: a crystal of FeRh relaxed with PBEsol at the meta-GGA SCAN level of DFT.

Results
The density comes out at 10.48 g cm⁻³. As for the density of states at the Fermi level: 5.14 states/eV/cell. The crystal system is monoclinic. For the volume, the calculation gives 75.46 Å³ per cell. For the raw total energy, the calculation gives -0.957 Ha/atom.

The structure in POSCAR format:
```
FeRh
1.0
4.449 0.000 0.000
0.000 2.682 0.000
-0.693 0.000 6.325
Fe Rh
3 3
direct
0.000 0.000 0.000 Fe
0.078 0.500 0.320 Fe
0.497 0.500 0.987 Fe
0.292 0.000 0.657 Rh
0.579 0.000 0.314 Rh
0.797 0.500 0.671 Rh
```


[3]
Computed, not measured: a crystal of FeRh3 relaxed with PBEsol at the meta-GGA SCAN level of DFT.

Results
The density comes out at 11.66 g cm⁻³. As for the density of states at the Fermi level: 9.96 states/eV/cell. The crystal system is hexagonal. For the volume, the calculation gives 103.83 Å³ per cell. For the raw total energy, the calculation gives -1.101 Ha/atom.

The structure in POSCAR format:
```
FeRh3
1.0
5.313 0.000 0.000
-2.657 4.601 0.000
0.000 0.000 4.247
Fe Rh
2 6
direct
0.333 0.667 0.250 Fe
0.667 0.333 0.750 Fe
0.168 0.337 0.750 Rh
0.168 0.832 0.750 Rh
0.337 0.168 0.250 Rh
0.663 0.832 0.750 Rh
0.832 0.168 0.250 Rh
0.832 0.663 0.250 Rh
```


[4]
Computed, not measured: a crystal of FeRh2 relaxed with PBEsol at the meta-GGA SCAN level of DFT.

Results
The density comes out at 11.38 g cm⁻³. As for the density of states at the Fermi level: 7.50 states/eV/cell. The crystal system is monoclinic. For the volume, the calculation gives 76.39 Å³ per cell. For the raw total energy, the calculation gives -1.052 Ha/atom.

The structure in POSCAR format:
```
FeRh2
1.0
6.722 -1.324 0.000
6.722 1.324 0.000
-1.398 0.000 4.293
Fe Rh
2 4
direct
0.082 0.082 0.254 Fe
0.918 0.918 0.746 Fe
0.253 0.253 0.750 Rh
0.420 0.420 0.246 Rh
0.580 0.580 0.754 Rh
0.747 0.747 0.250 Rh
```


[5]
Computed, not measured: a crystal of FeRh4 relaxed with PBEsol at the meta-GGA SCAN level of DFT.

Results
The density comes out at 11.91 g cm⁻³. As for the density of states at the Fermi level: 5.54 states/eV/cell. The crystal system is trigonal. For the volume, the calculation gives 65.19 Å³ per cell. For the raw total energy, the calculation gives -1.128 Ha/atom.

The structure in POSCAR format:
```
FeRh4
1.0
1.327 0.766 10.695
-1.327 0.766 10.695
0.000 -1.532 10.695
Fe Rh
1 4
direct
0.000 0.000 0.000 Fe
0.200 0.200 0.200 Rh
0.397 0.397 0.397 Rh
0.603 0.603 0.603 Rh
0.800 0.800 0.800 Rh
```


[6]
Computed, not measured: a crystal of Fe3Rh relaxed with PBEsol at the meta-GGA SCAN level of DFT.

Results
The density comes out at 9.40 g cm⁻³. As for the density of states at the Fermi level: 1.72 states/eV/cell. The crystal system is tetragonal. For the volume, the calculation gives 47.76 Å³ per cell. For the raw total energy, the calculation gives -0.817 Ha/atom.

The structure in POSCAR format:
```
Fe3Rh
1.0
2.868 0.000 0.000
0.000 2.868 0.000
0.000 0.000 5.806
Fe Rh
3 1
direct
0.000 0.000 0.000 Fe
0.500 0.500 0.234 Fe
0.500 0.500 0.766 Fe
0.000 0.000 0.500 Rh
```


[7]
Computed, not measured: a crystal of Fe3Rh2 relaxed with PBEsol at the meta-GGA SCAN level of DFT.

Results
The density comes out at 10.30 g cm⁻³. As for the density of states at the Fermi level: 5.42 states/eV/cell. The crystal system is tetragonal. For the volume, the calculation gives 60.19 Å³ per cell. For the raw total energy, the calculation gives -0.899 Ha/atom.

The structure in POSCAR format:
```
Fe3Rh2
1.0
-1.380 1.380 7.899
1.380 -1.380 7.899
1.380 1.380 -7.899
Fe Rh
3 2
direct
0.000 0.000 0.000 Fe
0.411 0.411 0.000 Fe
0.589 0.589 0.000 Fe
0.190 0.190 0.000 Rh
0.810 0.810 0.000 Rh
```


[8]
Computed, not measured: a crystal of FeRh relaxed with PBEsol at the meta-GGA SCAN level of DFT.

Results
The density comes out at 10.87 g cm⁻³. As for the density of states at the Fermi level: 5.94 states/eV/cell. The crystal system is trigonal. For the volume, the calculation gives 72.77 Å³ per cell. For the raw total energy, the calculation gives -0.953 Ha/atom.

The structure in POSCAR format:
```
FeRh
1.0
2.596 0.000 0.000
-1.298 2.248 0.000
0.000 0.000 12.465
Fe Rh
3 3
direct
0.000 0.000 0.000 Fe
0.333 0.667 0.154 Fe
0.667 0.333 0.846 Fe
0.000 0.000 0.500 Rh
0.333 0.667 0.680 Rh
0.667 0.333 0.320 Rh
```